VASP calculation (PBE-GGA) on a relaxed structure of Nd3HoEr2As6.

## Properties
Energy relative to the elements   -1.509 eV per atom
Symmetry   C2/m (12)

Cell: 7.2452 7.2452 7.2370 Å, 99.59 99.59 119.99°
Closest atoms and distances in Å follow each position.
Positions (direct):
Nd  0.0000  0.0000  0.0000  6 As 3.00
Nd  0.3335  0.6665  0.0000  6 As 3.00
Nd  0.6665  0.3335  0.0000  6 As 3.00
Ho  0.5000  0.5000  0.5000  6 As 2.92
Er  0.1667  0.8333  0.5000  6 As 2.91
Er  0.8333  0.1667  0.5000  6 As 2.91
As  0.0865  0.4204  0.2612  2 Er 2.91, 1 Ho 2.92, 3 Nd 3.00
As  0.2456  0.2456  0.7387  2 Er 2.91, 1 Ho 2.92, 3 Nd 3.00
As  0.4204  0.0865  0.2612  2 Er 2.91, 1 Ho 2.92, 3 Nd 3.00
As  0.5796  0.9135  0.7388  2 Er 2.91, 1 Ho 2.92, 3 Nd 3.00
As  0.7544  0.7544  0.2613  2 Er 2.91, 1 Ho 2.92, 3 Nd 3.00
As  0.9135  0.5796  0.7388  2 Er 2.91, 1 Ho 2.92, 3 Nd 3.00



VASP calculation (PBE-GGA) on a relaxed structure of BaYIrRh2.

## Properties
Energy relative to the elements   0.227 eV per atom
Symmetry   P4/mmm (123)

Cell: 5.0761 5.0761 5.0355 Å, 90.00 90.00 90.00°
Closest atoms and distances in Å follow each position.
Positions (direct):
Ba  0.0000  0.0000  0.0000  8 Rh 3.58, 4 Y 3.59
Y  0.5000  0.5000  0.0000  2 Ir 2.52
Ir  0.5000  0.5000  0.5000  2 Y 2.52, 4 Rh 2.54
Rh  0.0000  0.5000  0.5000  2 Ir 2.54
Rh  0.5000  0.0000  0.5000  2 Ir 2.54



VASP calculation (PBE-GGA) on a relaxed structure of Ni2AgPdAu.

## Properties
Energy relative to the elements   1.162 eV per atom
Symmetry   P4/mmm (123)

Cell: 4.6652 4.6652 5.0287 Å, 90.00 90.00 90.00°
Closest atoms and distances in Å follow each position.
Positions (direct):
Ni  0.0000  0.5000  0.0000  2 Au 2.33
Ni  0.5000  0.0000  0.0000  2 Au 2.33
Ag  0.0000  0.0000  0.5000  4 Pd 3.30, 8 Ni 3.43
Pd  0.5000  0.5000  0.5000  2 Au 2.51
Au  0.5000  0.5000  0.0000  4 Ni 2.33, 2 Pd 2.51



VASP calculation (PBE-GGA) on a relaxed structure of La2Sm6Ho.

## Properties
Energy relative to the elements   0.063 eV per atom
Offset from the most stable computed form   0.041 eV per atom
Symmetry   P-6m2 (187)

Cell: 3.6445 3.6445 27.0627 Å, 90.00 90.00 120.00°
Closest atoms and distances in Å follow each position.
Positions (direct):
La  0.0000  0.0000  0.1713  6 Sm 3.63-3.76, 6 La 3.64
La  0.0000  0.0000  0.8287  6 Sm 3.63-3.76, 6 La 3.64
Sm  0.0000  0.0000  0.3941  3 Ho 3.56, 9 Sm 3.59-3.64
Sm  0.0000  0.0000  0.6059  3 Ho 3.56, 9 Sm 3.59-3.64
Sm  0.6667  0.3333  0.0622  7 Sm 3.37-3.64, 3 La 3.63
Sm  0.6667  0.3333  0.2866  9 Sm 3.59-3.64, 3 La 3.76
Sm  0.6667  0.3333  0.7134  9 Sm 3.59-3.64, 3 La 3.76
Sm  0.6667  0.3333  0.9378  7 Sm 3.37-3.64, 3 La 3.63
Ho  0.6667  0.3333  0.5000  6 Sm 3.56, 6 Ho 3.64



VASP calculation (PBE-GGA) on a relaxed structure of MgReGe2H.

## Properties
Symmetry   P4/mmm (123)

Cell: 5.1165 5.1165 2.9880 Å, 90.00 90.00 90.00°
Closest atoms and distances in Å follow each position.
Positions (direct):
Mg  0.0000  0.0000  0.0000  2 H 1.49
Re  0.5000  0.5000  0.5000  8 Ge 2.96, 2 Re 2.99
Ge  0.0000  0.5000  0.0000  2 Mg 2.56
Ge  0.5000  0.0000  0.0000  2 Mg 2.56
H  0.0000  0.0000  0.5000  2 Mg 1.49



VASP calculation (PBE-GGA) on a relaxed structure of Na3LiI4.

## Properties
Raw formation energy   -1209 meV/atom
Offset from the most stable computed form   0.020 eV per atom
Symmetry   I-42m (121)

Cell: 8.5245 8.5245 8.5245 Å, 131.66 131.66 70.76°
Closest atoms and distances in Å follow each position.
Positions (direct):
Na  0.0000  0.0000  0.0000  4 I 3.11
Na  0.2500  0.7500  0.5000  4 I 3.09
Na  0.7500  0.2500  0.5000  4 I 3.09
Li  0.5000  0.5000  0.0000  4 I 2.81
I  0.1509  0.1509  0.5359  1 Li 2.81, 3 Na 3.09-3.11
I  0.3850  0.8491  0.0000  1 Li 2.81, 3 Na 3.09-3.11
I  0.6150  0.6150  0.4641  1 Li 2.81, 3 Na 3.09-3.11
I  0.8491  0.3850  0.0000  1 Li 2.81, 3 Na 3.09-3.11



VASP calculation (PBE-GGA) on a relaxed structure of VCdPd2.

## Properties
Energy relative to the elements   -0.270 eV per atom
Symmetry   P4/mmm (123)

Cell: 2.8369 2.8369 7.8590 Å, 90.00 90.00 90.00°
Closest atoms and distances in Å follow each position.
Positions (direct):
V  0.0000  0.0000  0.0000  8 Pd 2.69, 4 V 2.84
Cd  0.0000  0.0000  0.5000  4 Cd 2.84, 8 Pd 2.94
Pd  0.5000  0.5000  0.2273  4 V 2.69, 4 Pd 2.84, 4 Cd 2.94
Pd  0.5000  0.5000  0.7727  4 V 2.69, 4 Pd 2.84, 4 Cd 2.94



VASP calculation (PBE-GGA) on a relaxed structure of Mg2ZnS.

## Properties
Raw formation energy   -143 meV/atom
Offset from the most stable computed form   0.256 eV per atom
Symmetry   Fm-3m (225)

Cell: 4.7897 4.7897 4.7897 Å, 60.00 60.00 60.00°
Closest atoms and distances in Å follow each position.
Positions (direct):
Mg  0.2500  0.2500  0.2500  4 S 2.93, 4 Zn 2.93
Mg  0.7500  0.7500  0.7500  4 S 2.93, 4 Zn 2.93
Zn  0.0000  0.0000  0.0000  8 Mg 2.93
S  0.5000  0.5000  0.5000  8 Mg 2.93



VASP calculation (PBE-GGA) on a relaxed structure of BeCuRh2.

## Properties
Energy relative to the elements   0.356 eV per atom
Symmetry   I-42d (122)

Cell: 8.7181 8.7181 8.7181 Å, 155.81 155.81 34.47°
Closest atoms and distances in Å follow each position.
Positions (direct):
Be  0.0000  0.0000  0.0000  4 Rh 2.43, 4 Cu 2.58
Be  0.7500  0.2500  0.5000  4 Rh 2.43, 4 Cu 2.58
Cu  0.2500  0.7500  0.5000  4 Rh 2.47, 4 Be 2.58
Cu  0.5000  0.5000  0.0000  4 Rh 2.47, 4 Be 2.58
Rh  0.1117  0.6250  0.9867  2 Be 2.43, 2 Cu 2.47, 4 Rh 2.52-2.65
Rh  0.3750  0.3617  0.4867  2 Be 2.43, 2 Cu 2.47, 4 Rh 2.52-2.65
Rh  0.6383  0.1250  0.0133  2 Be 2.43, 2 Cu 2.47, 4 Rh 2.52-2.65
Rh  0.8750  0.8883  0.5133  2 Be 2.43, 2 Cu 2.47, 4 Rh 2.52-2.65



VASP calculation (PBE-GGA) on a relaxed structure of PmEuBi2.

## Properties
Energy relative to the elements   -0.750 eV per atom
Offset from the most stable computed form   0.000 eV per atom
Symmetry   P4/mmm (123)

Cell: 5.9974 5.9974 3.5145 Å, 90.00 90.00 90.00°
Closest atoms and distances in Å follow each position.
Positions (direct):
Pm  0.0000  0.0000  0.0000  8 Bi 3.48, 2 Pm 3.51
Eu  0.5000  0.5000  0.0000  8 Bi 3.48, 2 Eu 3.51
Bi  0.0000  0.5000  0.5000  4 Pm 3.48, 4 Eu 3.48, 2 Bi 3.51
Bi  0.5000  0.0000  0.5000  4 Pm 3.48, 4 Eu 3.48, 2 Bi 3.51



VASP calculation (PBE-GGA) on a relaxed structure of Li3ClO.

## Properties
Raw formation energy   -1811 meV/atom
Offset from the most stable computed form   0.012 eV per atom
Symmetry   C2/m (12)

Cell: 5.7739 5.7739 6.5786 Å, 96.90 96.90 36.77°
Closest atoms and distances in Å follow each position.
Positions (direct):
Li  0.0445  0.0445  0.1589  2 O 1.93
Li  0.1604  0.1604  0.6503  1 O 1.85
Li  0.3181  0.3181  0.0198  3 O 1.93-2.07
Li  0.6819  0.6819  0.9802  3 O 1.93-2.07
Li  0.8396  0.8396  0.3497  1 O 1.85
Li  0.9555  0.9555  0.8411  2 O 1.93
Cl  0.3752  0.3752  0.6172  5 Li 2.39-2.53
Cl  0.6248  0.6248  0.3828  5 Li 2.39-2.53
O  0.1314  0.1314  0.9210  6 Li 1.85-2.07
O  0.8686  0.8686  0.0790  6 Li 1.85-2.07



VASP calculation (PBE-GGA) on a relaxed structure of MoP6Rh2.

## Properties
Energy relative to the elements   0.009 eV per atom
Symmetry   P4_2/mnm (136)

Cell: 5.7693 5.7693 9.7056 Å, 90.00 90.00 90.00°
Closest atoms and distances in Å follow each position.
Positions (direct):
Mo  0.0000  0.0000  0.0000  6 P 2.35-2.48
Mo  0.5000  0.5000  0.5000  6 P 2.35-2.48
P  0.1960  0.1960  0.5000  2 Rh 2.43, 1 Mo 2.48
P  0.2212  0.2212  0.1550  2 Rh 2.30-2.36, 1 Mo 2.35
P  0.2212  0.2212  0.8450  2 Rh 2.30-2.36, 1 Mo 2.35
P  0.2788  0.7212  0.3451  2 Rh 2.30-2.36, 1 Mo 2.35
P  0.2788  0.7212  0.6550  2 Rh 2.30-2.36, 1 Mo 2.35
P  0.3040  0.6960  0.0000  2 Rh 2.43, 1 Mo 2.48
P  0.6960  0.3040  0.0000  2 Rh 2.43, 1 Mo 2.48
P  0.7212  0.2788  0.3451  2 Rh 2.30-2.36, 1 Mo 2.35
P  0.7212  0.2788  0.6550  2 Rh 2.30-2.36, 1 Mo 2.35
P  0.7788  0.7788  0.1550  2 Rh 2.30-2.36, 1 Mo 2.35
P  0.7788  0.7788  0.8450  2 Rh 2.30-2.36, 1 Mo 2.35
P  0.8040  0.8040  0.5000  2 Rh 2.43, 1 Mo 2.48
Rh  0.0000  0.0000  0.3113  6 P 2.30-2.43
Rh  0.0000  0.0000  0.6887  6 P 2.30-2.43
Rh  0.5000  0.5000  0.1887  6 P 2.30-2.43
Rh  0.5000  0.5000  0.8113  6 P 2.30-2.43



Calculated total energy for the records above, in order: -74.0, -30.8, -17.1, -42.2, -21.4, -21.7, -21.5, -9.2, -42.2, -25.8, -43.2, -115.8 eV per cell